Entry 1:
A geometry-optimized ZrFe2Co structure, computed with PBE-GGA.

Unit cell a=3.824 b=2.825 c=5.460 alpha=73.10 beta=90.00 gamma=90.00
Each line ends with the local moment (μB).
Sites, in units of the cell vectors:
Co  0.500  0.775  0.787  1.31
Fe  0.000  0.995  0.002  2.38
Fe  0.500  0.228  0.208  2.29
Zr  0.000  0.502  0.504  -0.41

Computed properties:
**Symmetry**: Pm (6)
**Uncorrected energy**: -8.095 eV/atom
**Formation enthalpy at 0 K**: 0.05 eV/atom

***

Entry 2:
A geometry-optimized ZrFeCo2 structure, computed with PBE-GGA.

Unit cell a=3.962 b=3.961 c=3.447 alpha=90.00 beta=90.00 gamma=90.00
Each line ends with the local moment (μB).
Sites, in units of the cell vectors:
Co  0.000  0.000  0.000  0.79
Co  0.500  0.500  0.000  0.80
Fe  0.500  0.000  0.500  2.52
Zr  0.000  0.500  0.500  -0.31

Computed properties:
**Symmetry**: P4/mmm (123)
**Uncorrected energy**: -7.907 eV/atom
**Formation enthalpy at 0 K**: -0.10 eV/atom